Density functional theory data (PBE+U) for Ba2HfCo2O6 after structural relaxation.

Structure (extended XYZ):
```
11
Lattice="3.012 1.739 5.425 -3.012 1.739 5.425 0.000 -3.478 5.425" Properties=species:S:1:pos:R:3 pbc="T T T"
Ba 0.000 0.000 3.649
Ba 0.000 0.000 12.626
Hf 0.000 0.000 0.000
Co 0.000 0.000 7.007
Co 0.000 0.000 9.268
O 0.000 -1.836 6.712
O -1.590 0.918 6.712
O -1.590 -0.918 9.564
O 1.590 0.918 6.712
O 1.590 -0.918 9.564
O 0.000 1.836 9.564
```

Computed properties:
Calculated total energy = -7.114 eV/atom
SG = R-3m, No. 166